<A>
Density functional theory data (PBE) for a geometry-optimized Tb3Pm6Th structure.

Cell lengths 3.5905, 12.1090, 15.9218 Å; angles 90.00, 90.02, 90.00 degrees
Fractional positions:
Tb 0.0000 0.0000 0.5000
Tb 0.9995 0.3934 0.3108
Tb 0.5005 0.8934 0.1892
Tb 0.0005 0.6066 0.6892
Tb 0.5000 0.5000 0.0000
Tb 0.4995 0.1066 0.8108
Pm 0.9999 0.2655 0.9476
Pm 0.9996 0.9004 0.7057
Pm 0.5001 0.7655 0.5524
Pm 0.4996 0.5996 0.2057
Pm 0.5004 0.4004 0.7943
Pm 0.9999 0.7324 0.3664
Pm 0.0004 0.0996 0.2943
Pm 0.4999 0.2345 0.4476
Pm 0.4999 0.7676 0.8664
Pm 0.0001 0.2676 0.6336
Pm 0.0001 0.7345 0.0524
Pm 0.5001 0.2324 0.1336
Th 0.5000 0.5000 0.5000
Th 0.0000 0.0000 0.0000

Values from the calculation:
- size of the total moment (μB per formula unit) = 0.0
- SG = Pnnm (58)

=====

<B>
Density functional theory data (PBE) for a geometry-optimized Tb3Pm6Th structure.

Cell lengths 3.5586, 13.2795, 14.5362 Å; angles 100.55, 90.00, 90.00 degrees
Fractional positions:
Pm 0.2500 0.6553 0.8805
Pm 0.7500 0.8109 0.0802
Pm 0.7500 0.7292 0.2984
Pm 0.2500 0.8782 0.5153
Pm 0.2500 0.4994 0.3098
Pm 0.7500 0.1218 0.4847
Pm 0.7500 0.3447 0.1195
Pm 0.2500 0.2708 0.7016
Pm 0.2500 0.1891 0.9198
Pm 0.7500 0.5006 0.6902
Pm 0.2500 0.2204 0.2875
Pm 0.7500 0.7796 0.7125
Tb 0.7500 0.0735 0.1006
Tb 0.2500 0.5777 0.0963
Tb 0.7500 0.4223 0.9037
Tb 0.2500 0.3754 0.4983
Tb 0.2500 0.9265 0.8994
Tb 0.7500 0.6246 0.5017
Th 0.2500 0.9633 0.2776
Th 0.7500 0.0367 0.7224

Values from the calculation:
- size of the total moment (μB per formula unit) = 0.0
- SG = P2_1/m (11)

=====

Of the structures shown above, <B> is the most stable.